Tb2ThC: relaxed, PBE-GGA.

```
Tb2ThC
1.0
-3.311 -0.174 -1.162
-0.971 -2.600 -2.154
-3.889 -6.505 6.739
C Tb Th
1 2 1
Direct
0.500 0.500 0.500
0.121 0.121 0.638
0.879 0.879 0.362
0.000 0.000 0.000
```

Output
Calculated total energy ... -6.512 eV/atom
Space group ... No. 166